Record 1
## CsCrAgBr6 (GGA-PBE)

Data for a relaxed CsCrAgBr6 crystal.

Summary:
The raw formation energy is -7.2 eV per formula unit.

The structure in CIF format:
```
data_CsCrAgBr6
_chemical_formula_sum 'Cs1 Cr1 Ag1 Br6'
_space_group_name_H-M_alt 'P 3 1 2'
_space_group_IT_number 149
_space_group_name_Hall 'P 3 2'
_cell_length_a 6.9870
_cell_length_b 6.9870
_cell_length_c 8.0746
_cell_angle_alpha 90.00
_cell_angle_beta 90.00
_cell_angle_gamma 120.00
loop_
_atom_site_label
_atom_site_fract_x
_atom_site_fract_y
_atom_site_fract_z
_atom_site_occupancy
Cs1 0.0000 0.0000 0.0000 1
Cr1 0.6667 0.3333 0.5000 1
Ag1 0.3333 0.6667 0.5000 1
Br1 0.3857 0.0306 0.6816 1
```



Record 2
## ZrAl2Au3 (GGA-PBE)

Data for a relaxed ZrAl2Au3 crystal.

Summary:
For the formation energy, the calculation gives -0.491 eV per atom.

The structure in CIF format:
```
data_ZrAl2Au3
_chemical_formula_sum 'Zr2 Al4 Au6'
_space_group_name_H-M_alt 'P 63/m m c'
_space_group_IT_number 194
_space_group_name_Hall '-P 6c 2c'
_cell_length_a 4.4615
_cell_length_b 4.4615
_cell_length_c 12.4768
_cell_angle_alpha 90.00
_cell_angle_beta 90.00
_cell_angle_gamma 120.00
loop_
_atom_site_label
_atom_site_fract_x
_atom_site_fract_y
_atom_site_fract_z
_atom_site_occupancy
Zr1 0.0000 0.0000 0.2500 1
Al1 0.3333 0.6667 0.0948 1
Au1 0.0000 0.0000 0.0000 1
Au2 0.3333 0.6667 0.6329 1
```



Record 3
## Ti2Al2VCo5 (GGA-PBE)

Data for a relaxed Ti2Al2VCo5 crystal.

Summary:
For the formation energy, the calculation gives -0.210 eV per atom.

The structure in CIF format:
```
data_Ti2Al2VCo5
_chemical_formula_sum 'Ti4 Al4 V2 Co10'
_space_group_name_H-M_alt 'P 4/m b m'
_space_group_IT_number 127
_space_group_name_Hall '-P 4 2ab'
_cell_length_a 8.7932
_cell_length_b 8.7932
_cell_length_c 3.3140
_cell_angle_alpha 90.00
_cell_angle_beta 90.00
_cell_angle_gamma 90.00
loop_
_atom_site_label
_atom_site_fract_x
_atom_site_fract_y
_atom_site_fract_z
_atom_site_occupancy
Ti1 0.1711 0.3289 0.0000 1
Al1 0.1271 0.6271 0.0000 1
V1 0.0000 0.0000 0.0000 1
Co1 0.0000 0.5000 0.5000 1
Co2 0.0589 0.8025 0.5000 1
```



Record 4
## La6In3Ga (GGA-PBE)

Data for a relaxed La6In3Ga crystal.

Summary:
For the formation energy, the calculation gives -0.368 eV per atom.

The structure in CIF format:
```
data_La6In3Ga
_chemical_formula_sum 'La12 In6 Ga2'
_space_group_name_H-M_alt 'P 1 21/c 1'
_space_group_IT_number 14
_space_group_name_Hall '-P 2ybc'
_cell_length_a 5.5193
_cell_length_b 9.6107
_cell_length_c 13.4541
_cell_angle_alpha 90.00
_cell_angle_beta 114.19
_cell_angle_gamma 90.00
loop_
_atom_site_label
_atom_site_fract_x
_atom_site_fract_y
_atom_site_fract_z
_atom_site_occupancy
La1 0.0736 0.1555 0.0738 1
La2 0.2572 0.5011 0.2563 1
La3 0.4226 0.1783 0.4227 1
In1 0.0000 0.0000 0.5000 1
In2 0.2547 0.6660 0.7558 1
Ga1 0.5000 0.0000 0.0000 1
```



Record 5
## Cs2ZnTeF6 (GGA-PBE)

Data for a relaxed Cs2ZnTeF6 crystal.

Summary:
The raw formation energy is -21.6 eV per formula unit.

The structure in CIF format:
```
data_Cs2ZnTeF6
_chemical_formula_sum 'Cs4 Zn2 Te2 F12'
_space_group_name_H-M_alt 'I 4/m m m'
_space_group_IT_number 139
_space_group_name_Hall '-I 4 2'
_cell_length_a 6.7760
_cell_length_b 6.7760
_cell_length_c 8.8301
_cell_angle_alpha 90.00
_cell_angle_beta 90.00
_cell_angle_gamma 90.00
loop_
_atom_site_label
_atom_site_fract_x
_atom_site_fract_y
_atom_site_fract_z
_atom_site_occupancy
Cs1 0.0000 0.5000 0.2500 1
Zn1 0.0000 0.0000 0.0000 1
Te1 0.0000 0.0000 0.5000 1
F1 0.0000 0.0000 0.2619 1
F2 0.2092 0.2092 0.0000 1
```



Record 6
## Sr3InO (GGA-PBE)

Data for a relaxed Sr3InO crystal.

Summary:
The raw formation energy is -6.1 eV per formula unit.

The structure in CIF format:
```
data_Sr3InO
_chemical_formula_sum 'Sr12 In4 O4'
_space_group_name_H-M_alt 'C 1 2/c 1'
_space_group_IT_number 15
_space_group_name_Hall '-C 2yc'
_cell_length_a 7.4599
_cell_length_b 12.8361
_cell_length_c 7.1043
_cell_angle_alpha 90.00
_cell_angle_beta 104.62
_cell_angle_gamma 90.00
loop_
_atom_site_label
_atom_site_fract_x
_atom_site_fract_y
_atom_site_fract_z
_atom_site_occupancy
Sr1 0.0000 0.2372 0.2500 1
Sr2 0.2201 0.0373 0.0069 1
In1 0.0000 0.2656 0.7500 1
O1 0.0000 0.0499 0.2500 1
```



Record 7
## Tb2Dy2Cd (GGA-PBE)

Data for a relaxed Tb2Dy2Cd crystal.

Summary:
For the formation energy, the calculation gives -0.112 eV per atom. The energy relative to the lowest polymorph listed for this composition is 0.000 eV per atom.

The structure in CIF format:
```
data_Tb2Dy2Cd
_chemical_formula_sum 'Tb4 Dy4 Cd2'
_space_group_name_H-M_alt 'I 4/m m m'
_space_group_IT_number 139
_space_group_name_Hall '-I 4 2'
_cell_length_a 3.5640
_cell_length_b 3.5640
_cell_length_c 23.3115
_cell_angle_alpha 90.00
_cell_angle_beta 90.00
_cell_angle_gamma 90.00
loop_
_atom_site_label
_atom_site_fract_x
_atom_site_fract_y
_atom_site_fract_z
_atom_site_occupancy
Tb1 0.0000 0.0000 0.1961 1
Dy1 0.0000 0.0000 0.4107 1
Cd1 0.0000 0.0000 0.0000 1
```



Record 8
## Ca2SbOsN (GGA-PBE)

Data for a relaxed Ca2SbOsN crystal.

Summary:
The raw formation energy is -2.7 eV per formula unit.

The structure in CIF format:
```
data_Ca2SbOsN
_chemical_formula_sum 'Ca2 Sb1 Os1 N1'
_space_group_name_H-M_alt 'P 4/m m m'
_space_group_IT_number 123
_space_group_name_Hall '-P 4 2'
_cell_length_a 5.1168
_cell_length_b 5.1168
_cell_length_c 3.8588
_cell_angle_alpha 90.00
_cell_angle_beta 90.00
_cell_angle_gamma 90.00
loop_
_atom_site_label
_atom_site_fract_x
_atom_site_fract_y
_atom_site_fract_z
_atom_site_occupancy
Ca1 0.0000 0.5000 0.0000 1
Sb1 0.0000 0.0000 0.5000 1
Os1 0.5000 0.5000 0.5000 1
N1 0.5000 0.5000 0.0000 1
```



Record 9
## Cd2FeOs (GGA-PBE)

Data for a relaxed Cd2FeOs crystal.

Summary:
For the formation energy, the calculation gives 0.259 eV per atom. The energy relative to the lowest polymorph listed for this composition is 0.000 eV per atom.

The structure in CIF format:
```
data_Cd2FeOs
_chemical_formula_sum 'Cd2 Fe1 Os1'
_space_group_name_H-M_alt 'P 4 m m'
_space_group_IT_number 99
_space_group_name_Hall 'P 4 -2'
_cell_length_a 2.8522
_cell_length_b 2.8522
_cell_length_c 8.1534
_cell_angle_alpha 90.00
_cell_angle_beta 90.00
_cell_angle_gamma 90.00
loop_
_atom_site_label
_atom_site_fract_x
_atom_site_fract_y
_atom_site_fract_z
_atom_site_occupancy
Cd1 0.0000 0.0000 0.0000 1
Cd2 0.5000 0.5000 0.3111 1
Fe1 0.0000 0.0000 0.5587 1
Os1 0.5000 0.5000 0.7323 1
```



Record 10
## LiHoScTc (GGA-PBE)

Data for a relaxed LiHoScTc crystal.

Summary:
For the formation energy, the calculation gives -0.070 eV per atom.

The structure in CIF format:
```
data_LiHoScTc
_chemical_formula_sum 'Li4 Ho4 Sc4 Tc4'
_space_group_name_H-M_alt 'F -4 3 m'
_space_group_IT_number 216
_space_group_name_Hall 'F -4 2 3'
_cell_length_a 6.7646
_cell_length_b 6.7646
_cell_length_c 6.7646
_cell_angle_alpha 90.00
_cell_angle_beta 90.00
_cell_angle_gamma 90.00
loop_
_atom_site_label
_atom_site_fract_x
_atom_site_fract_y
_atom_site_fract_z
_atom_site_occupancy
Li1 0.0000 0.0000 0.0000 1
Ho1 0.2500 0.2500 0.7500 1
Sc1 0.2500 0.2500 0.2500 1
Tc1 0.0000 0.0000 0.5000 1
```



Record 11
## LaPr5Er2 (GGA-PBE)

Data for a relaxed LaPr5Er2 crystal.

Summary:
For the formation energy, the calculation gives 0.010 eV per atom. The energy relative to the lowest polymorph listed for this composition is 0.000 eV per atom.

The structure in CIF format:
```
data_LaPr5Er2
_chemical_formula_sum 'La2 Pr10 Er4'
_space_group_name_H-M_alt 'P b a m'
_space_group_IT_number 55
_space_group_name_Hall '-P 2 2ab'
_cell_length_a 7.3305
_cell_length_b 14.6641
_cell_length_c 5.1751
_cell_angle_alpha 90.00
_cell_angle_beta 90.00
_cell_angle_gamma 90.00
loop_
_atom_site_label
_atom_site_fract_x
_atom_site_fract_y
_atom_site_fract_z
_atom_site_occupancy
La1 0.0000 0.0000 0.0000 1
Pr1 0.0000 0.5000 0.0000 1
Pr2 0.0027 0.2506 0.0000 1
Pr3 0.2486 0.6253 0.5000 1
Er1 0.2484 0.8746 0.5000 1
```



Record 12
## SrTl5 (GGA-PBE)

Data for a relaxed SrTl5 crystal.

Summary:
For the formation energy, the calculation gives -0.175 eV per atom. The energy relative to the lowest polymorph listed for this composition is 0.000 eV per atom.

The structure in CIF format:
```
data_SrTl5
_chemical_formula_sum 'Sr2 Tl10'
_space_group_name_H-M_alt 'C m m m'
_space_group_IT_number 65
_space_group_name_Hall '-C 2 2'
_cell_length_a 5.0480
_cell_length_b 14.3500
_cell_length_c 5.1278
_cell_angle_alpha 90.00
_cell_angle_beta 90.00
_cell_angle_gamma 90.00
loop_
_atom_site_label
_atom_site_fract_x
_atom_site_fract_y
_atom_site_fract_z
_atom_site_occupancy
Sr1 0.0000 0.0000 0.0000 1
Tl1 0.0000 0.1734 0.5000 1
Tl2 0.0000 0.3250 0.0000 1
Tl3 0.0000 0.5000 0.5000 1
```